Density functional theory data (PBE) for crystalline Rb2AgAuBr6 at its relaxed geometry.

Calculated total energy in eV per atom: -2.643

Lattice parameters (Å, degrees): 7.6611 7.6611 18.7873 90.00 90.00 120.00
Space group R-3 (No. 148, hexagonal axes)
One atom of each set of equivalent atoms:
Rb  0.0000  0.0000  0.2502 (multiplicity 6)
Ag  0.0000  0.0000  0.5000 (multiplicity 3)
Au  0.0000  0.0000  0.0000 (multiplicity 3)
Br  0.0032  0.5030  0.7494 (multiplicity 18)